Ag6SCl3F2 | the Alexandria database | PBE-GGA | optimized geometry; Fermi-level density of states = 0.690 states/eV/atom; total energy = -3.060 eV per atom; energy relative to the elements, uncorrected = -0.517 eV per atom; magnetic moment = 0.000 μB/f.u.
1.0
3.282 -5.731 0.000
3.282 5.731 0.000
-2.186 0.000 6.113
Ag S Cl F
6 1 3 2
Direct
0.073 0.404 0.214
0.258 0.258 0.776
0.404 0.073 0.214
0.596 0.927 0.786
0.742 0.742 0.224
0.927 0.596 0.786
0.000 0.000 0.000
0.182 0.818 0.500
0.500 0.500 0.500
0.818 0.182 0.500
0.335 0.665 0.000
0.665 0.335 0.000